Density functional theory data (PBE-GGA) for crystalline LuPaCuPt at its relaxed geometry.

Unit cell a=6.923 b=6.923 c=6.923 alpha=90.00 beta=90.00 gamma=90.00
Atoms (fractional coordinates):
Lu 0.000 0.000 0.000
Lu 0.000 0.500 0.500
Lu 0.500 0.000 0.500
Lu 0.500 0.500 0.000
Pa 0.000 0.000 0.500
Pa 0.000 0.500 0.000
Pa 0.500 0.000 0.000
Pa 0.500 0.500 0.500
Cu 0.250 0.250 0.750
Cu 0.250 0.750 0.250
Cu 0.750 0.250 0.250
Cu 0.750 0.750 0.750
Pt 0.250 0.250 0.250
Pt 0.250 0.750 0.750
Pt 0.750 0.250 0.750
Pt 0.750 0.750 0.250

Values from the calculation:
The formation energy from the elements comes out at -0.514 eV per atom. As for the density of states at the Fermi level: 1.6175 states/eV per atom. The calculation puts the volume at 331.8 Å³ per cell. Its density is 13.3 g/cm3.